Compound: SrDy4Mn3O12
Source: Alexandria via LeMat-Bulk
Functional: PBE+U
Structure: optimized geometry

As for the crystal system: cubic. As for the uncorrected energy: -153.48 eV per cell. For the density of states at the Fermi level, the calculation gives 12.72 states/eV/f.u.

The structure in POSCAR format:
```
SrDy4Mn3O12
1.0
-4.1029 4.1029 4.1029
4.1029 -4.1029 4.1029
4.1029 4.1029 -4.1029
Sr Dy Mn O
1 4 3 12
direct
0.0000 0.0000 0.0000
0.0000 0.0000 0.5000
0.0000 0.5000 0.0000
0.5000 0.0000 0.0000
0.5000 0.5000 0.5000
0.0000 0.5000 0.5000
0.5000 0.0000 0.5000
0.5000 0.5000 0.0000
0.1570 0.4801 0.3230
0.1570 0.8340 0.6770
0.1660 0.3230 0.8430
0.3230 0.1570 0.4801
0.3230 0.8430 0.1660
0.4801 0.3230 0.1570
0.5199 0.6770 0.8430
0.6770 0.1570 0.8340
0.6770 0.8430 0.5199
0.8340 0.6770 0.1570
0.8430 0.1660 0.3230
0.8430 0.5199 0.6770
```